Density functional theory data (PBE-GGA) for a relaxed structure of Pr6DyY2Th.

Summary:
Magnetization in Bohr magnetons per cell: 0.000

Lattice parameters (Å, degrees): 9.664 8.968 8.968 115.18 93.51 93.51
Atoms (fractional coordinates):
1 Pr 0.062 0.108 0.764
2 Pr 0.438 0.236 0.892
3 Pr 0.938 0.892 0.236
4 Pr 0.562 0.764 0.108
5 Pr 0.309 0.994 0.425
6 Pr 0.191 0.575 0.006
7 Pr 0.691 0.006 0.575
8 Pr 0.809 0.425 0.994
9 Pr 0.116 0.702 0.479
10 Pr 0.384 0.521 0.298
11 Pr 0.884 0.298 0.521
12 Pr 0.616 0.479 0.702
13 Dy 0.250 0.409 0.591
14 Dy 0.750 0.591 0.409
15 Y 0.445 0.798 0.710
16 Y 0.055 0.290 0.202
17 Y 0.555 0.202 0.290
18 Y 0.945 0.710 0.798
19 Th 0.250 0.965 0.035
20 Th 0.750 0.035 0.965

***

Density functional theory data (PBE-GGA) for a relaxed structure of PrDy2Y5Th.

Summary:
Magnetization in Bohr magnetons per cell: 0.000

Lattice parameters (Å, degrees): 8.778 8.778 9.850 116.46 116.46 90.00
Atoms (fractional coordinates):
1 Pr 0.250 0.750 0.500
2 Pr 0.750 0.250 0.500
3 Dy 0.115 0.385 0.000
4 Dy 0.615 0.115 0.000
5 Dy 0.385 0.885 0.000
6 Dy 0.885 0.615 0.000
7 Y 0.929 0.429 0.272
8 Y 0.657 0.157 0.728
9 Y 0.071 0.571 0.728
10 Y 0.157 0.071 0.728
11 Y 0.571 0.657 0.728
12 Y 0.843 0.929 0.272
13 Y 0.429 0.343 0.272
14 Y 0.343 0.843 0.272
15 Y 0.500 0.500 0.000
16 Y 0.000 0.000 0.000
17 Th 0.250 0.250 0.500
18 Th 0.750 0.750 0.500

***

Density functional theory data (PBE-GGA) for a relaxed structure of PrDy2Y6Th3.

Summary:
Magnetization in Bohr magnetons per cell: 0.000

Lattice parameters (Å, degrees): 6.215 6.215 11.790 95.05 95.05 120.00
Atoms (fractional coordinates):
1 Pr 0.000 0.000 0.000
2 Dy 0.333 0.667 0.000
3 Dy 0.667 0.333 0.000
4 Y 0.915 0.581 0.745
5 Y 0.751 0.751 0.255
6 Y 0.085 0.419 0.255
7 Y 0.581 0.915 0.745
8 Y 0.249 0.249 0.745
9 Y 0.419 0.085 0.255
10 Th 0.166 0.834 0.500
11 Th 0.834 0.166 0.500
12 Th 0.500 0.500 0.500

***

Density functional theory data (PBE-GGA) for a relaxed structure of PrDyYTh2.

Summary:
Magnetization in Bohr magnetons per cell: 0.000

Lattice parameters (Å, degrees): 6.705 6.684 8.626 112.79 90.00 90.00
Atoms (fractional coordinates):
1 Pr 0.250 0.849 0.698
2 Pr 0.750 0.151 0.302
3 Dy 0.750 0.715 0.431
4 Dy 0.250 0.285 0.569
5 Y 0.250 0.653 0.306
6 Y 0.750 0.347 0.694
7 Th 0.500 0.256 0.000
8 Th 0.000 0.744 0.000
9 Th 0.500 0.744 0.000
10 Th 0.000 0.256 0.000

***

Density functional theory data (PBE-GGA) for a relaxed structure of Pr2Dy5YTh.

Summary:
Magnetization in Bohr magnetons per cell: 0.000

Lattice parameters (Å, degrees): 5.638 10.339 10.859 90.00 90.00 105.82
Atoms (fractional coordinates):
1 Pr 0.885 0.769 0.818
2 Pr 0.115 0.230 0.733
3 Pr 0.115 0.231 0.318
4 Pr 0.885 0.770 0.233
5 Dy 0.392 0.784 0.021
6 Dy 0.718 0.437 0.811
7 Dy 0.480 0.960 0.738
8 Dy 0.300 0.599 0.709
9 Dy 0.984 0.968 0.527
10 Dy 0.608 0.216 0.521
11 Dy 0.282 0.563 0.311
12 Dy 0.520 0.040 0.238
13 Dy 0.700 0.401 0.209
14 Dy 0.016 0.032 0.027
15 Y 0.798 0.596 0.509
16 Y 0.202 0.404 0.009
17 Th 0.583 0.166 0.958
18 Th 0.417 0.834 0.458

***

Density functional theory data (PBE-GGA) for a relaxed structure of PrDy6Y3Th2.

Summary:
Magnetization in Bohr magnetons per cell: 0.000

Lattice parameters (Å, degrees): 6.200 6.200 11.798 95.05 95.05 119.97
Atoms (fractional coordinates):
1 Pr 0.000 0.000 0.000
2 Dy 0.916 0.578 0.752
3 Dy 0.745 0.745 0.248
4 Dy 0.084 0.422 0.248
5 Dy 0.578 0.916 0.752
6 Dy 0.255 0.255 0.752
7 Dy 0.422 0.084 0.248
8 Y 0.166 0.834 0.500
9 Y 0.834 0.166 0.500
10 Y 0.500 0.500 0.500
11 Th 0.333 0.667 0.000
12 Th 0.667 0.333 0.000

***

| no. | final energy (eV per formula unit) |
| --- | --- |
| 1 | -52.2 |
| 2 | -51.0 |
| 3 | -74.8 |
| 4 | -28.6 |
| 5 | -45.0 |
| 6 | -66.2 |